[1]
This record from Alexandria describes crystalline CaGa2Hg at its relaxed geometry. The functional is GGA-PBE.

Calculated values
E_form = -266.4 meV/atom

The structure in POSCAR format:
```
CaGa2Hg
1.0
-3.131 2.984 1.406
-3.807 0.608 -2.413
-4.666 -2.574 2.427
Hg Ca Ga
1 1 2
direct
0.500 0.500 0.500
0.000 0.000 0.000
0.226 0.226 0.321
0.774 0.774 0.679
```

=====

[2]
This record from Alexandria describes crystalline TbErPd2 at its relaxed geometry. The functional is GGA-PBE.

Calculated values
E_form = -894.5 meV/atom

The structure in POSCAR format:
```
TbErPd2
1.0
-4.740 0.118 -1.451
-2.339 -4.212 -1.173
-3.548 -1.776 2.974
Pd Er Tb
2 1 1
direct
0.250 0.250 0.250
0.750 0.750 0.750
0.000 0.000 0.000
0.500 0.500 0.500
```

=====

[3]
This record from Alexandria describes crystalline BC3 at its relaxed geometry. The functional is GGA-PBE.

Calculated values
E_form = 290.7 meV/atom

The structure in POSCAR format:
```
BC3
1.0
-1.173 3.334 -4.528
-2.447 -2.961 4.389
0.252 3.031 2.169
C B
9 3
direct
0.670 0.838 0.747
0.503 0.999 0.236
0.824 0.161 0.508
0.666 0.323 0.000
0.000 0.004 0.986
0.991 0.486 0.755
0.512 0.508 0.526
0.337 0.674 0.995
0.335 0.177 0.756
0.204 0.850 0.536
0.175 0.338 0.243
0.781 0.642 0.212
```

=====

[4]
This record from Alexandria describes crystalline Np2HgPd9 at its relaxed geometry. The functional is GGA-PBE.

Calculated values
E_form = -358.6 meV/atom

The structure in POSCAR format:
```
Np2HgPd9
1.0
-1.872 2.217 2.927
2.443 -1.700 2.851
8.167 9.027 -1.615
Pd Hg Np
9 1 2
direct
0.500 0.000 0.831
0.000 0.500 0.831
0.500 0.500 0.666
0.000 0.500 0.500
0.500 0.500 0.000
0.500 0.000 0.169
0.500 0.500 0.334
0.000 0.500 0.169
0.500 0.000 0.500
0.000 0.000 0.000
0.000 0.000 0.328
0.000 0.000 0.672
```

=====

[5]
This record from Alexandria describes crystalline YSi2Os2 at its relaxed geometry. The functional is GGA-PBE.

Calculated values
E_form (uncorrected) = -0.725 eV per atom

The structure in POSCAR format:
```
YSi2Os2
1.0
-3.239 4.576 0.848
-5.418 -0.305 -1.642
3.580 -3.159 3.059
Si Os Y
2 2 1
direct
0.628 0.628 0.000
0.372 0.372 0.000
0.250 0.750 0.500
0.750 0.250 0.500
0.000 0.000 0.000
```

=====

[6]
This record from Alexandria describes crystalline Sm2ErBi at its relaxed geometry. The functional is GGA-PBE.

Calculated values
E_form = -384.9 meV/atom

The structure in POSCAR format:
```
Sm2ErBi
1.0
4.663 0.000 -0.020
0.000 4.648 0.000
-2.285 0.000 11.529
Sm Bi Er
4 2 2
direct
0.062 0.750 0.122
0.938 0.250 0.878
0.435 0.750 0.870
0.565 0.250 0.130
0.174 0.250 0.347
0.826 0.750 0.653
0.691 0.750 0.381
0.309 0.250 0.619
```